(1)
Rb2Te2Pt: optimized geometry, GGA-PBEsol.

POSCAR file:
```
Rb2Te2Pt
1.0
-1.130 -2.789 -2.633
2.986 -5.956 1.991
-4.654 -4.031 3.232
Te Rb Pt
2 2 1
Direct
0.500 0.216 0.784
0.500 0.784 0.216
0.203 0.297 0.297
0.797 0.703 0.703
0.000 0.000 0.000
```

Summary:
Magnetization, μB per formula unit: 0.00
ΔE_f (raw), eV/atom: -0.78
Symmetry: Immm, No. 71
Electronic total energy, Ry per atom: -0.293

***

(2)
RbTi2Pt: optimized geometry, GGA-PBEsol.

POSCAR file:
```
RbTi2Pt
1.0
4.674 0.000 0.000
2.337 4.048 0.000
2.337 1.349 3.816
Rb Ti Pt
1 2 1
Direct
0.000 0.000 0.000
0.750 0.750 0.750
0.250 0.250 0.250
0.500 0.500 0.500
```

Summary:
Magnetization, μB per formula unit: 0.31
DFT formation energy, meV per atom: 596
Symmetry: Fm-3m, No. 225
Electronic total energy, Ry per atom: -0.409

***

(3)
RbTi3Pt: optimized geometry, GGA-PBEsol.

POSCAR file:
```
RbTi3Pt
1.0
-1.756 -4.498 -1.041
1.235 0.616 -4.743
4.449 -1.946 0.905
Ti Pt Rb
3 1 1
Direct
0.000 0.000 0.500
0.000 0.500 0.000
0.500 0.000 0.000
0.000 0.000 0.000
0.500 0.500 0.500
```

Summary:
Magnetization, μB per formula unit: 0.00
DFT formation energy, meV per atom: 623
Symmetry: Pm-3m, No. 221
Electronic total energy, Ry per atom: -0.439

***

(4)
Rb3TiPt: optimized geometry, GGA-PBEsol.

POSCAR file:
```
Rb3TiPt
1.0
-4.856 1.850 3.195
-3.439 -4.186 -2.803
1.342 -4.033 4.375
Pt Rb Ti
1 3 1
Direct
0.500 0.500 0.500
0.000 0.000 0.500
0.500 0.000 0.000
0.000 0.500 0.000
0.000 0.000 0.000
```

Summary:
Magnetization, μB per formula unit: 3.47
DFT formation energy, meV per atom: 1508
Symmetry: Pm-3m, No. 221
Electronic total energy, Ry per atom: -0.159

***

(5)
RbTiPtW2: optimized geometry, GGA-PBEsol.

POSCAR file:
```
RbTiPtW2
1.0
4.591 0.000 0.000
0.000 4.591 0.000
0.000 0.000 5.057
W Ti Pt Rb
2 1 1 1
Direct
0.000 0.500 0.000
0.500 0.000 0.000
0.000 0.000 0.000
0.500 0.500 0.500
0.000 0.000 0.500
```

Summary:
Magnetization, μB per formula unit: 1.08
DFT formation energy, meV per atom: 2304
Symmetry: P4/mmm, No. 123
Electronic total energy, Ry per atom: -0.476

***

(6)
Rb2PtW: optimized geometry, GGA-PBEsol.

POSCAR file:
```
Rb2PtW
1.0
-3.370 -2.729 3.385
1.247 -5.118 1.585
1.520 -0.977 5.196
Rb Pt W
2 1 1
Direct
0.250 0.250 0.250
0.750 0.750 0.750
0.500 0.500 0.500
0.000 0.000 0.000
```

Summary:
Magnetization, μB per formula unit: 4.82
DFT formation energy, meV per atom: 2012
Symmetry: Fm-3m, No. 225
Electronic total energy, Ry per atom: -0.271

***

(7)
RbYPt2: optimized geometry, GGA-PBEsol.

POSCAR file:
```
RbYPt2
1.0
4.999 0.000 0.000
2.499 4.329 0.000
2.499 1.443 4.082
Pt Rb Y
2 1 1
Direct
0.250 0.250 0.250
0.750 0.750 0.750
0.000 0.000 0.000
0.500 0.500 0.500
```

Summary:
Magnetization, μB per formula unit: 0.00
DFT formation energy, meV per atom: -192
Symmetry: Fm-3m, No. 225
Electronic total energy, Ry per atom: -0.414

***

(8)
Rb2YPt2: optimized geometry, GGA-PBEsol.

POSCAR file:
```
Rb2YPt2
1.0
5.475 0.000 0.000
-2.737 5.465 -0.007
0.000 2.748 4.735
Rb Pt Y
2 2 1
Direct
0.647 0.295 0.353
0.353 0.705 0.647
0.250 0.500 0.250
0.750 0.500 0.750
0.000 0.000 0.000
```

Summary:
Magnetization, μB per formula unit: 0.00
DFT formation energy, meV per atom: 723
Symmetry: I4/mmm, No. 139
Electronic total energy, Ry per atom: -0.282

***

(9)
RbZn3Pt: optimized geometry, GGA-PBEsol.

POSCAR file:
```
RbZn3Pt
1.0
-0.391 4.721 1.243
-4.816 -0.168 -0.877
-0.803 -1.292 4.656
Zn Rb Pt
3 1 1
Direct
0.000 0.500 0.000
0.500 0.000 0.000
0.000 0.000 0.500
0.500 0.500 0.500
0.000 0.000 0.000
```

Summary:
Magnetization, μB per formula unit: 0.00
DFT formation energy, meV per atom: -188
Symmetry: Pm-3m, No. 221
Electronic total energy, Ry per atom: -0.201

***

(10)
RePt2: optimized geometry, GGA-PBEsol.

POSCAR file:
```
RePt2
1.0
2.751 0.000 0.000
-1.376 5.039 0.002
0.000 -1.780 6.392
Pt Re
4 2
Direct
0.024 0.049 0.313
0.976 0.951 0.687
0.643 0.286 0.039
0.357 0.714 0.961
0.701 0.403 0.638
0.299 0.597 0.362
```

Summary:
Excess energy over the best structure of this formula in the dataset, meV per atom: 81
Magnetization, μB per formula unit: 0.00
DFT formation energy, meV per atom: -69
Symmetry: C2/m, No. 12
Electronic total energy, Ry per atom: -0.673

***

(11)
RePt: optimized geometry, GGA-PBEsol.

POSCAR file:
```
RePt
1.0
-1.827 0.482 2.005
3.121 -0.726 3.018
1.157 4.680 -0.070
Pt Re
2 2
Direct
0.000 0.000 0.588
0.500 0.500 0.412
0.000 0.500 0.913
0.500 0.000 0.087
```

Summary:
Excess energy over the best structure of this formula in the dataset, meV per atom: 49
Magnetization, μB per formula unit: 0.00
DFT formation energy, meV per atom: -76
Symmetry: Pmmn, No. 59
Electronic total energy, Ry per atom: -0.751

***

(12)
RePt4: optimized geometry, GGA-PBEsol.

POSCAR file:
```
RePt4
1.0
-3.268 -0.628 1.992
0.464 -3.177 3.534
-0.575 2.902 3.748
Re Pt
1 4
Direct
0.000 0.000 0.000
0.397 0.808 0.398
0.603 0.192 0.602
0.205 0.398 0.192
0.795 0.602 0.808
```

Summary:
Magnetization, μB per formula unit: 0.00
DFT formation energy, meV per atom: -119
Symmetry: I4/m, No. 87
Electronic total energy, Ry per atom: -0.614

***

(13)
RePt: optimized geometry, GGA-PBEsol.

POSCAR file:
```
RePt
1.0
2.741 0.000 0.000
-1.371 5.109 0.001
0.000 -1.626 6.292
Re Pt
3 3
Direct
0.717 0.434 0.945
0.056 0.111 0.618
0.006 0.012 0.994
0.391 0.782 0.269
0.335 0.670 0.675
0.662 0.324 0.332
```

Summary:
Excess energy over the best structure of this formula in the dataset, meV per atom: 13
Magnetization, μB per formula unit: 0.00
DFT formation energy, meV per atom: -113
Symmetry: Cm, No. 8
Electronic total energy, Ry per atom: -0.754

***

(14)
RePt2: optimized geometry, GGA-PBEsol.

POSCAR file:
```
RePt2
1.0
-0.839 -2.565 -0.408
0.519 -0.586 2.615
-5.374 3.155 0.349
Pt Re
2 1
Direct
0.341 0.341 0.681
0.659 0.659 0.319
0.000 0.000 0.000
```

Summary:
Excess energy over the best structure of this formula in the dataset, meV per atom: 0
Magnetization, μB per formula unit: 0.00
DFT formation energy, meV per atom: -150
Symmetry: I4/mmm, No. 139
Electronic total energy, Ry per atom: -0.679

***

(15)
RePt: optimized geometry, GGA-PBEsol.

POSCAR file:
```
RePt
1.0
-1.175 -2.391 -0.660
0.943 -1.106 2.328
-6.534 2.193 3.689
Re Pt
2 2
Direct
0.500 0.000 0.617
0.000 0.500 0.383
0.500 0.000 0.134
0.000 0.500 0.866
```

Summary:
Excess energy over the best structure of this formula in the dataset, meV per atom: 17
Magnetization, μB per formula unit: 0.00
DFT formation energy, meV per atom: -109
Symmetry: P4/nmm, No. 129
Electronic total energy, Ry per atom: -0.754

***

(16)
RePt: optimized geometry, GGA-PBEsol.

POSCAR file:
```
RePt
1.0
2.768 0.000 0.000
-1.384 2.397 0.000
0.000 0.000 8.902
Re Pt
2 2
Direct
0.333 0.667 0.383
0.667 0.333 0.617
0.667 0.333 0.134
0.333 0.667 0.866
```

Summary:
Excess energy over the best structure of this formula in the dataset, meV per atom: 0
Magnetization, μB per formula unit: 0.00
DFT formation energy, meV per atom: -126
Symmetry: P-3m1, No. 164
Electronic total energy, Ry per atom: -0.755

***

(17)
RePt: optimized geometry, GGA-PBEsol.

POSCAR file:
```
RePt
1.0
3.644 0.000 0.000
1.822 3.155 0.000
1.822 1.052 2.975
Pt Re
1 1
Direct
0.000 0.000 0.000
0.500 0.500 0.500
```

Summary:
Excess energy over the best structure of this formula in the dataset, meV per atom: 1403
Magnetization, μB per formula unit: 0.00
DFT formation energy, meV per atom: 1277
Symmetry: Fm-3m, No. 225
Electronic total energy, Ry per atom: -0.652

***

(18)
Re5Pt4: optimized geometry, GGA-PBEsol.

POSCAR file:
```
Re5Pt4
1.0
-2.145 2.004 -2.542
-1.997 -3.864 -4.326
-5.835 -0.080 1.894
Re Pt
5 4
Direct
0.338 0.324 0.000
0.662 0.676 0.000
0.338 0.000 0.324
0.662 0.000 0.676
0.000 0.000 0.000
0.674 0.326 0.326
0.000 0.674 0.326
0.000 0.326 0.674
0.326 0.674 0.674
```

Summary:
Magnetization, μB per formula unit: 0.00
DFT formation energy, meV per atom: -149
Symmetry: I4/mmm, No. 139
Electronic total energy, Ry per atom: -0.783

***

(19)
Re3Pt: optimized geometry, GGA-PBEsol.

POSCAR file:
```
Re3Pt
1.0
-1.633 0.689 5.199
0.015 -5.020 -2.232
8.334 -1.211 2.778
Re Pt
12 4
Direct
0.658 0.829 0.750
0.500 0.000 0.500
0.500 0.000 0.000
0.342 0.171 0.250
0.500 0.500 0.000
0.171 0.342 0.750
0.500 0.500 0.500
0.171 0.829 0.750
0.000 0.500 0.000
0.000 0.500 0.500
0.829 0.658 0.250
0.829 0.171 0.250
0.333 0.667 0.250
0.667 0.333 0.750
0.000 0.000 0.500
0.000 0.000 0.000
```

Summary:
Magnetization, μB per formula unit: 0.00
DFT formation energy, meV per atom: -157
Symmetry: P6_3/mmc, No. 194
Electronic total energy, Ry per atom: -0.874

***

(20)
Re3Pt: optimized geometry, GGA-PBEsol.

POSCAR file:
```
Re3Pt
1.0
2.744 0.000 0.000
0.000 4.740 -0.002
-1.372 -0.829 4.491
Re Pt
3 1
Direct
0.500 0.500 0.000
0.245 0.740 0.490
0.755 0.260 0.510
0.000 0.000 0.000
```

Summary:
Magnetization, μB per formula unit: 0.00
DFT formation energy, meV per atom: -5
Symmetry: C2/m, No. 12
Electronic total energy, Ry per atom: -0.863

***

(21)
RePt2: optimized geometry, GGA-PBEsol.

POSCAR file:
```
RePt2
1.0
-1.766 -1.175 1.735
2.858 -2.330 1.330
0.397 4.532 1.309
Pt Re
2 1
Direct
0.337 0.337 0.674
0.663 0.663 0.326
0.000 0.000 0.000
```

Summary:
Excess energy over the best structure of this formula in the dataset, meV per atom: 21
Magnetization, μB per formula unit: 0.00
DFT formation energy, meV per atom: -129
Symmetry: Immm, No. 71
Electronic total energy, Ry per atom: -0.677

***

(22)
Re3Pt: optimized geometry, GGA-PBEsol.

POSCAR file:
```
Re3Pt
1.0
4.389 0.000 0.000
0.000 4.775 0.000
0.000 0.000 5.527
Pt Re
2 6
Direct
0.500 0.334 0.500
0.000 0.666 0.000
0.000 0.165 0.754
0.000 0.165 0.246
0.000 0.679 0.500
0.500 0.321 0.000
0.500 0.835 0.254
0.500 0.835 0.746
```

Summary:
Magnetization, μB per formula unit: 0.00
DFT formation energy, meV per atom: -210
Symmetry: Pmmn, No. 59
Electronic total energy, Ry per atom: -0.878

***

(23)
RePt8: optimized geometry, GGA-PBEsol.

POSCAR file:
```
RePt8
1.0
3.889 0.000 0.000
1.944 5.875 0.000
1.944 0.000 5.875
Pt Re
8 1
Direct
0.329 0.671 0.671
0.000 0.671 0.329
0.339 0.323 0.000
0.661 0.000 0.677
0.000 0.329 0.671
0.339 0.000 0.323
0.671 0.329 0.329
0.661 0.677 0.000
0.000 0.000 0.000
```

Summary:
Magnetization, μB per formula unit: 0.00
DFT formation energy, meV per atom: -57
Symmetry: I4/mmm, No. 139
Electronic total energy, Ry per atom: -0.568

***

(24)
RePt2: optimized geometry, GGA-PBEsol.

POSCAR file:
```
RePt2
1.0
2.754 0.000 0.000
-1.377 2.385 0.000
0.000 0.000 6.741
Pt Re
2 1
Direct
0.333 0.667 0.675
0.667 0.333 0.325
0.000 0.000 0.000
```

Summary:
Excess energy over the best structure of this formula in the dataset, meV per atom: 76
Magnetization, μB per formula unit: 0.00
DFT formation energy, meV per atom: -74
Symmetry: P-3m1, No. 164
Electronic total energy, Ry per atom: -0.673

***

(25)
RePtRh2: optimized geometry, GGA-PBEsol.

POSCAR file:
```
RePtRh2
1.0
-1.816 0.063 2.009
-1.111 -2.288 -0.933
4.747 -4.109 4.421
Rh Re Pt
2 1 1
Direct
0.000 0.000 0.261
0.000 0.000 0.739
0.500 0.500 0.500
0.500 0.500 0.000
```

Summary:
Excess energy over the best structure of this formula in the dataset, meV per atom: 0
Magnetization, μB per formula unit: 0.00
DFT formation energy, meV per atom: -148
Symmetry: P4/mmm, No. 123
Electronic total energy, Ry per atom: -0.683

***

(26)
RePt2Rh: optimized geometry, GGA-PBEsol.

POSCAR file:
```
RePt2Rh
1.0
3.835 0.000 0.000
0.000 3.835 0.000
-1.918 -1.918 3.901
Pt Rh Re
2 1 1
Direct
0.500 0.500 0.000
0.750 0.250 0.500
0.250 0.750 0.500
0.000 0.000 0.000
```

Summary:
Excess energy over the best structure of this formula in the dataset, meV per atom: 48
Magnetization, μB per formula unit: 0.00
DFT formation energy, meV per atom: -100
Symmetry: I-4m2, No. 119
Electronic total energy, Ry per atom: -0.658

***

(27)
RePt2Rh: optimized geometry, GGA-PBEsol.

POSCAR file:
```
RePt2Rh
1.0
-1.955 1.198 1.460
-2.080 -3.311 -0.069
2.417 -1.614 4.559
Pt Rh Re
2 1 1
Direct
0.000 0.000 0.245
0.000 0.000 0.755
0.500 0.500 0.500
0.500 0.500 0.000
```

Summary:
Excess energy over the best structure of this formula in the dataset, meV per atom: 63
Magnetization, μB per formula unit: 0.00
DFT formation energy, meV per atom: -85
Symmetry: Pmmm, No. 47
Electronic total energy, Ry per atom: -0.657

***

(28)
RePt2Rh: optimized geometry, GGA-PBEsol.

POSCAR file:
```
RePt2Rh
1.0
-2.620 -0.001 -0.752
-1.124 -2.264 -1.019
-3.629 -3.306 7.703
Rh Pt Re
1 2 1
Direct
0.247 0.247 0.260
0.999 0.999 0.004
0.753 0.753 0.742
0.502 0.502 0.494
```

Summary:
Excess energy over the best structure of this formula in the dataset, meV per atom: 38
Magnetization, μB per formula unit: 0.00
DFT formation energy, meV per atom: -111
Symmetry: R3m, No. 160
Electronic total energy, Ry per atom: -0.659

***

(29)
RePt2Rh: optimized geometry, GGA-PBEsol.

POSCAR file:
```
RePt2Rh
1.0
-0.039 -0.918 2.545
-0.769 -4.396 -1.597
4.566 0.460 -1.203
Pt Rh Re
2 1 1
Direct
0.753 0.257 0.506
0.999 0.998 0.998
0.247 0.741 0.493
0.502 0.504 0.003
```

Summary:
Excess energy over the best structure of this formula in the dataset, meV per atom: 33
Magnetization, μB per formula unit: 0.00
DFT formation energy, meV per atom: -115
Symmetry: Cm, No. 8
Electronic total energy, Ry per atom: -0.659